No. 1
A plane-wave DFT calculation with PBE-GGA was carried out for a relaxed Ba4Sr2Pd crystal.

abc: 16.674 4.600 10.418
angles: 90.00 106.31 90.00
Fractional positions:
Ba 0.022 0.000 0.306
Ba 0.146 0.500 0.038
Ba 0.354 0.000 0.962
Ba 0.478 0.500 0.694
Ba 0.522 0.500 0.306
Ba 0.646 0.000 0.038
Ba 0.854 0.500 0.962
Ba 0.978 0.000 0.694
Sr 0.188 0.500 0.628
Sr 0.312 0.000 0.372
Sr 0.688 0.000 0.628
Sr 0.812 0.500 0.372
Pd 0.000 0.500 0.500
Pd 0.500 0.000 0.500

For the density of states at the Fermi level, the calculation gives 6.7 states/eV/f.u. The calculation puts the calculated density at 3.60 Mg/m³. For the total magnetic moment, the calculation gives 0.000 μB/atom. Its electronic total energy is -2.51 eV per atom.

***

No. 2
A plane-wave DFT calculation with PBE-GGA was carried out for a relaxed Ba2SrTcPd crystal.

abc: 5.920 5.920 5.063
angles: 90.00 90.00 90.00
Fractional positions:
Ba 0.000 0.500 0.000
Ba 0.500 0.000 0.000
Sr 0.000 0.000 0.500
Tc 0.500 0.500 0.000
Pd 0.500 0.500 0.500

For the density of states at the Fermi level, the calculation gives 6.0 states/eV/f.u. The calculation puts the calculated density at 5.30 Mg/m³. For the total magnetic moment, the calculation gives 0.000 μB/atom. Its electronic total energy is -3.72 eV per atom.

***

No. 3
A plane-wave DFT calculation with PBE-GGA was carried out for a relaxed Ba2SrTePd crystal.

abc: 6.718 6.718 5.117
angles: 90.00 90.00 90.00
Fractional positions:
Ba 0.000 0.500 0.000
Ba 0.500 0.000 0.000
Sr 0.000 0.000 0.000
Te 0.500 0.500 0.500
Pd 0.000 0.000 0.500

For the density of states at the Fermi level, the calculation gives 5.4 states/eV/f.u. The calculation puts the calculated density at 4.29 Mg/m³. The calculation puts the uncorrected formation energy at 0.100 eV/atom. For the total magnetic moment, the calculation gives 0.000 μB/atom. Its electronic total energy is -2.67 eV per atom.

***

No. 4
A plane-wave DFT calculation with PBE-GGA was carried out for a relaxed BaSrTiPd2 crystal.

abc: 5.029 5.029 5.460
angles: 90.00 90.00 90.00
Fractional positions:
Ba 0.000 0.000 0.000
Sr 0.500 0.500 0.000
Ti 0.500 0.500 0.500
Pd 0.000 0.500 0.500
Pd 0.500 0.000 0.500

For the density of states at the Fermi level, the calculation gives 6.4 states/eV/f.u. The calculation puts the calculated density at 5.84 Mg/m³. For the total magnetic moment, the calculation gives 0.000 μB/atom. Its electronic total energy is -4.21 eV per atom.